1.
First-principles (PBE) data for a relaxed structure of SiAsW, as listed in the Alexandria database.

Summary:
Distance to the lowest polymorph of the same formula ... 0.143 eV per atom
E_form (uncorrected) ... 0.06 eV/atom
Volume ... 14.980 A^3/atom

abc: 3.297 3.297 8.268
angles: 90.00 90.00 90.00
Space group I4mm (No. 107)
Asymmetric unit:
Si: 0.000 0.000 0.000
As: 0.000 0.000 0.330
W: 0.000 0.000 0.657

2.
First-principles (PBE) data for a relaxed structure of SrCd6Au6, as listed in the Alexandria database.

Summary:
Distance to the lowest polymorph of the same formula ... 0.000 eV per atom
DFT formation energy ... -0.27 eV/atom
Volume ... 21.395 A^3/atom

abc: 5.622 9.874 10.021
angles: 90.00 90.00 90.00
Space group Immm (No. 71)
Asymmetric unit:
Sr: 0.000 0.000 0.000
Cd: 0.000 0.000 0.353
Cd: 0.000 0.350 0.000
Cd: 0.000 0.500 0.295
Au: 0.000 0.287 0.500
Au: 0.250 0.250 0.250

3.
First-principles (PBE) data for a relaxed structure of Sc2GaF, as listed in the Alexandria database.

Summary:
Distance to the lowest polymorph of the same formula ... 0.337 eV per atom
E_form (uncorrected) ... -1.02 eV/atom
Volume ... 17.975 A^3/atom

abc: 6.601 6.601 6.601
angles: 90.00 90.00 90.00
Space group Fm-3m (No. 225)
Asymmetric unit:
Sc: 0.250 0.250 0.250
Ga: 0.000 0.000 0.000
F: 0.000 0.000 0.500

4.
First-principles (PBE) data for a relaxed structure of LiMgZr2, as listed in the Alexandria database.

Summary:
DFT formation energy ... 0.14 eV/atom
Volume ... 21.647 A^3/atom

abc: 5.865 11.078 2.956
angles: 90.00 115.62 90.00
Space group C2/m (No. 12)
Asymmetric unit:
Li: 0.000 0.000 0.000
Mg: 0.000 0.500 0.000
Zr: 0.250 0.250 0.500

5.
First-principles (PBE) data for a relaxed structure of CePrTl, as listed in the Alexandria database.

Summary:
Distance to the lowest polymorph of the same formula ... 0.067 eV per atom
DFT formation energy ... -0.06 eV/atom
Volume ... 31.163 A^3/atom

abc: 3.773 3.773 26.271
angles: 90.00 90.00 90.00
Space group I4/mmm (No. 139)
Asymmetric unit:
Ce: 0.000 0.000 0.224
Pr: 0.000 0.000 0.070
Tl: 0.000 0.000 0.354

6.
First-principles (PBE) data for a relaxed structure of CuPH2, as listed in the Alexandria database.

Summary:
Distance to the lowest polymorph of the same formula ... 0.159 eV per atom
Volume ... 8.878 A^3/atom

abc: 2.564 4.157 6.662
angles: 90.00 90.00 90.00
Space group Immm (No. 71)
Asymmetric unit:
Cu: 0.000 0.000 0.000
P: 0.000 0.000 0.500
H: 0.000 0.000 0.265

7.
First-principles (PBE) data for a relaxed structure of CsPdBrCl2, as listed in the Alexandria database.

Summary:
E_form (uncorrected) ... -1.01 eV/atom
Volume ... 27.410 A^3/atom

abc: 5.090 5.090 5.290
angles: 90.00 90.00 90.00
Space group P4/mmm (No. 123)
Asymmetric unit:
Cs: 0.000 0.000 0.000
Pd: 0.500 0.500 0.500
Br: 0.500 0.500 0.000
Cl: 0.000 0.500 0.500